Entry 1:
A plane-wave DFT calculation with PBE was carried out for a relaxed Pr4AgPd crystal.

a = 8.278 Å, b = 8.278 Å, c = 8.278 Å
α = 107.46°, β = 107.46°, γ = 113.57°
Atoms (fractional coordinates):
Pr: 0.195 0.000 0.195
Pr: 0.224 0.524 0.299
Pr: 0.224 0.925 0.701
Pr: 0.274 0.474 0.799
Pr: 0.675 0.474 0.201
Pr: 0.750 0.055 0.305
Pr: 0.750 0.445 0.695
Pr: 0.805 0.000 0.805
Ag: 0.486 0.986 0.500
Ag: 0.736 0.736 0.000
Pd: 0.239 0.239 0.000
Pd: 0.989 0.489 0.500

Results
As for the magnetization: 0.0 Bohr magnetons per cell. The calculated formation energy comes out at -30.6 kJ/mol of formula units. The value obtained for the energy above the most stable polymorph in this dataset is 288 meV/atom. Its total energy is -4.58 eV/atom.

=====

Entry 2:
A plane-wave DFT calculation with PBE was carried out for a relaxed Pr2AgPd2 crystal.

a = 7.728 Å, b = 7.728 Å, c = 3.843 Å
α = 90.00°, β = 90.00°, γ = 147.94°
Atoms (fractional coordinates):
Pr: 0.131 0.869 0.000
Pr: 0.869 0.131 0.000
Ag: 0.500 0.500 0.500
Pd: 0.310 0.690 0.500
Pd: 0.690 0.310 0.500

Results
As for the magnetization: 0.0 Bohr magnetons per cell. The calculated formation energy comes out at -299.7 kJ/mol of formula units. The value obtained for the energy above the most stable polymorph in this dataset is 33 meV/atom. Its total energy is -5.18 eV/atom.

=====

Entry 3:
A plane-wave DFT calculation with PBE was carried out for a relaxed Pr5Ag4Pd crystal.

a = 3.730 Å, b = 3.730 Å, c = 19.060 Å
α = 90.00°, β = 90.00°, γ = 90.00°
Atoms (fractional coordinates):
Pr: 0.000 0.000 0.000
Pr: 0.000 0.000 0.204
Pr: 0.000 0.000 0.408
Pr: 0.000 0.000 0.592
Pr: 0.000 0.000 0.796
Ag: 0.500 0.500 0.102
Ag: 0.500 0.500 0.304
Ag: 0.500 0.500 0.696
Ag: 0.500 0.500 0.898
Pd: 0.500 0.500 0.500

Results
As for the magnetization: 0.0 Bohr magnetons per cell. The calculated formation energy comes out at -322.7 kJ/mol of formula units. Its total energy is -4.38 eV/atom.

=====

Entry 4:
A plane-wave DFT calculation with PBE was carried out for a relaxed Pr6AgPd5 crystal.

a = 7.370 Å, b = 7.370 Å, c = 7.405 Å
α = 99.52°, β = 99.52°, γ = 119.40°
Atoms (fractional coordinates):
Pr: 0.065 0.412 0.739
Pr: 0.234 0.234 0.249
Pr: 0.412 0.065 0.739
Pr: 0.588 0.935 0.261
Pr: 0.766 0.766 0.751
Pr: 0.935 0.588 0.261
Ag: 0.500 0.500 0.000
Pd: 0.000 0.000 0.500
Pd: 0.170 0.830 0.000
Pd: 0.341 0.659 0.500
Pd: 0.659 0.341 0.500
Pd: 0.830 0.170 0.000

Results
As for the magnetization: 0.0 Bohr magnetons per cell. The calculated formation energy comes out at -654.5 kJ/mol of formula units. The value obtained for the energy above the most stable polymorph in this dataset is 61 meV/atom. Its total energy is -5.36 eV/atom.

=====

Entry 5:
A plane-wave DFT calculation with PBE was carried out for a relaxed Pr2Ag2Pd3 crystal.

a = 5.494 Å, b = 5.494 Å, c = 7.183 Å
α = 107.89°, β = 107.89°, γ = 47.43°
Atoms (fractional coordinates):
Pr: 0.133 0.133 0.277
Pr: 0.867 0.867 0.723
Ag: 0.378 0.378 0.067
Ag: 0.622 0.622 0.933
Pd: 0.155 0.155 0.700
Pd: 0.500 0.500 0.500
Pd: 0.845 0.845 0.300

Results
As for the magnetization: 0.0 Bohr magnetons per cell. The calculated formation energy comes out at -373.0 kJ/mol of formula units. Its total energy is -4.96 eV/atom.

=====

Entry 6:
A plane-wave DFT calculation with PBE was carried out for a relaxed Pr12Ag6Pd crystal.

a = 8.174 Å, b = 8.174 Å, c = 8.174 Å
α = 89.41°, β = 89.41°, γ = 89.41°
Atoms (fractional coordinates):
Pr: 0.041 0.948 0.307
Pr: 0.052 0.693 0.959
Pr: 0.145 0.488 0.366
Pr: 0.307 0.041 0.948
Pr: 0.366 0.145 0.488
Pr: 0.488 0.366 0.145
Pr: 0.512 0.634 0.855
Pr: 0.634 0.855 0.512
Pr: 0.693 0.959 0.052
Pr: 0.855 0.512 0.634
Pr: 0.948 0.307 0.041
Pr: 0.959 0.052 0.693
Ag: 0.230 0.390 0.758
Ag: 0.242 0.770 0.610
Ag: 0.390 0.758 0.230
Ag: 0.610 0.242 0.770
Ag: 0.758 0.230 0.390
Ag: 0.770 0.610 0.242
Pd: 0.500 0.500 0.500

Results
As for the magnetization: 0.0 Bohr magnetons per cell. The calculated formation energy comes out at -170.6 kJ/mol of formula units. Its total energy is -4.29 eV/atom.

=====

Entry 7:
A plane-wave DFT calculation with PBE was carried out for a relaxed Pr3Ag2Pd crystal.

a = 8.303 Å, b = 8.303 Å, c = 3.761 Å
α = 90.00°, β = 90.00°, γ = 142.90°
Atoms (fractional coordinates):
Pr: 0.000 0.000 0.000
Pr: 0.344 0.656 0.000
Pr: 0.656 0.344 0.000
Ag: 0.177 0.823 0.500
Ag: 0.823 0.177 0.500
Pd: 0.500 0.500 0.500

Results
As for the magnetization: 0.0 Bohr magnetons per cell. The calculated formation energy comes out at -230.9 kJ/mol of formula units. The value obtained for the energy above the most stable polymorph in this dataset is 0 meV/atom. Its total energy is -4.60 eV/atom.

=====

Entry 8:
A plane-wave DFT calculation with PBE was carried out for a relaxed Pr5AgPd2 crystal.

a = 8.904 Å, b = 8.904 Å, c = 8.904 Å
α = 125.07°, β = 125.07°, γ = 81.42°
Atoms (fractional coordinates):
Pr: 0.000 0.000 0.000
Pr: 0.021 0.521 0.824
Pr: 0.196 0.021 0.500
Pr: 0.304 0.804 0.824
Pr: 0.479 0.304 0.500
Pr: 0.500 0.500 0.000
Pr: 0.521 0.696 0.500
Pr: 0.696 0.196 0.176
Pr: 0.804 0.979 0.500
Pr: 0.979 0.479 0.176
Ag: 0.250 0.250 0.000
Ag: 0.750 0.750 0.000
Pd: 0.127 0.373 0.500
Pd: 0.373 0.873 0.245
Pd: 0.627 0.127 0.755
Pd: 0.873 0.627 0.500

Results
As for the magnetization: 0.0 Bohr magnetons per cell. The calculated formation energy comes out at -329.5 kJ/mol of formula units. Its total energy is -5.07 eV/atom.

=====

Entry 9:
A plane-wave DFT calculation with PBE was carried out for a relaxed PrAg4Pd crystal.

a = 5.544 Å, b = 5.544 Å, c = 5.544 Å
α = 60.00°, β = 60.00°, γ = 60.00°
Atoms (fractional coordinates):
Pr: 0.000 0.000 0.000
Ag: 0.127 0.624 0.624
Ag: 0.624 0.127 0.624
Ag: 0.624 0.624 0.127
Ag: 0.624 0.624 0.624
Pd: 0.250 0.250 0.250

Results
As for the magnetization: 0.0 Bohr magnetons per cell. The calculated formation energy comes out at -122.2 kJ/mol of formula units. Its total energy is -3.77 eV/atom.

=====

Entry 10:
A plane-wave DFT calculation with PBE was carried out for a relaxed Pr2Ag3Pd2 crystal.

a = 5.539 Å, b = 5.539 Å, c = 7.148 Å
α = 96.49°, β = 96.49°, γ = 45.51°
Atoms (fractional coordinates):
Pr: 0.117 0.117 0.329
Pr: 0.883 0.883 0.671
Ag: 0.193 0.193 0.884
Ag: 0.500 0.500 0.000
Ag: 0.807 0.807 0.116
Pd: 0.404 0.404 0.352
Pd: 0.596 0.596 0.648

Results
As for the magnetization: 0.0 Bohr magnetons per cell. The calculated formation energy comes out at -314.0 kJ/mol of formula units. Its total energy is -4.54 eV/atom.

=====

Entry 11:
A plane-wave DFT calculation with PBE was carried out for a relaxed PrAg3Pd crystal.

a = 9.975 Å, b = 9.975 Å, c = 9.975 Å
α = 149.01°, β = 149.01°, γ = 44.40°
Atoms (fractional coordinates):
Pr: 0.186 0.186 0.000
Pr: 0.814 0.814 0.000
Ag: 0.375 0.623 0.752
Ag: 0.377 0.129 0.752
Ag: 0.377 0.625 0.248
Ag: 0.565 0.065 0.500
Ag: 0.871 0.623 0.248
Ag: 0.935 0.435 0.500
Pd: 0.250 0.750 0.500
Pd: 0.500 0.500 0.000

Results
As for the magnetization: 0.0 Bohr magnetons per cell. The calculated formation energy comes out at 21.0 kJ/mol of formula units. Its total energy is -3.66 eV/atom.

=====

Entry 12:
A plane-wave DFT calculation with PBE was carried out for a relaxed Pr6AgPd5 crystal.

a = 8.979 Å, b = 8.979 Å, c = 5.191 Å
α = 106.48°, β = 106.48°, γ = 48.33°
Atoms (fractional coordinates):
Pr: 0.076 0.584 0.330
Pr: 0.242 0.758 0.000
Pr: 0.416 0.924 0.670
Pr: 0.584 0.076 0.330
Pr: 0.758 0.242 0.000
Pr: 0.924 0.416 0.670
Ag: 0.500 0.500 0.500
Pd: 0.000 0.000 0.500
Pd: 0.167 0.167 0.167
Pd: 0.340 0.340 0.841
Pd: 0.660 0.660 0.159
Pd: 0.833 0.833 0.833

Results
As for the magnetization: 0.0 Bohr magnetons per cell. The calculated formation energy comes out at -725.2 kJ/mol of formula units. The value obtained for the energy above the most stable polymorph in this dataset is 0 meV/atom. Its total energy is -5.42 eV/atom.

=====

Copy entry 6 word for word.
A plane-wave DFT calculation with PBE was carried out for a relaxed Pr12Ag6Pd crystal.

a = 8.174 Å, b = 8.174 Å, c = 8.174 Å
α = 89.41°, β = 89.41°, γ = 89.41°
Atoms (fractional coordinates):
Pr: 0.041 0.948 0.307
Pr: 0.052 0.693 0.959
Pr: 0.145 0.488 0.366
Pr: 0.307 0.041 0.948
Pr: 0.366 0.145 0.488
Pr: 0.488 0.366 0.145
Pr: 0.512 0.634 0.855
Pr: 0.634 0.855 0.512
Pr: 0.693 0.959 0.052
Pr: 0.855 0.512 0.634
Pr: 0.948 0.307 0.041
Pr: 0.959 0.052 0.693
Ag: 0.230 0.390 0.758
Ag: 0.242 0.770 0.610
Ag: 0.390 0.758 0.230
Ag: 0.610 0.242 0.770
Ag: 0.758 0.230 0.390
Ag: 0.770 0.610 0.242
Pd: 0.500 0.500 0.500

Results
As for the magnetization: 0.0 Bohr magnetons per cell. The calculated formation energy comes out at -170.6 kJ/mol of formula units. Its total energy is -4.29 eV/atom.

=====

What is the magnetization in the first record?
0.0 Bohr magnetons per cell

=====

Please write out number 1 again, unchanged.
A plane-wave DFT calculation with PBE was carried out for a relaxed Pr4AgPd crystal.

a = 8.278 Å, b = 8.278 Å, c = 8.278 Å
α = 107.46°, β = 107.46°, γ = 113.57°
Atoms (fractional coordinates):
Pr: 0.195 0.000 0.195
Pr: 0.224 0.524 0.299
Pr: 0.224 0.925 0.701
Pr: 0.274 0.474 0.799
Pr: 0.675 0.474 0.201
Pr: 0.750 0.055 0.305
Pr: 0.750 0.445 0.695
Pr: 0.805 0.000 0.805
Ag: 0.486 0.986 0.500
Ag: 0.736 0.736 0.000
Pd: 0.239 0.239 0.000
Pd: 0.989 0.489 0.500

Results
As for the magnetization: 0.0 Bohr magnetons per cell. The calculated formation energy comes out at -30.6 kJ/mol of formula units. The value obtained for the energy above the most stable polymorph in this dataset is 288 meV/atom. Its total energy is -4.58 eV/atom.

=====

calculated formation energy of number 6 (Pr12Ag6Pd)?
-170.6 kJ/mol of formula units